No. 1
Here is MnSbIr2 after structural relaxation from the Alexandria database. Energies are from PBE-GGA.

Structure (extended XYZ):
```
4
Lattice="4.1319 0.0000 0.0000 0.0000 4.1319 0.0000 0.0000 0.0000 3.7184" Properties=species:S:1:pos:R:3 pbc="T T T"
Sb 0.0000 2.0660 1.8592
Mn 2.0660 0.0000 1.8592
Ir 0.0000 0.0000 0.0000
Ir 2.0660 2.0660 0.0000
```

Output
**DFT total energy**: -7.7946 eV/atom
**Formation energy from raw total energies**: -41 meV per atom


No. 2
Here is MnSbIr after structural relaxation from the Alexandria database. Energies are from PBE-GGA.

Structure (extended XYZ):
```
3
Lattice="-1.4489 2.4582 1.3392 -0.7990 -2.9374 0.8178 4.2924 0.0829 4.4919" Properties=species:S:1:pos:R:3 pbc="T T T"
Ir 0.0742 0.0014 0.0777
Sb 1.8673 -1.0832 4.0085
Mn 0.1030 0.6855 2.5627
```

Output
**DFT total energy**: -7.0796 eV/atom
**Formation energy from raw total energies**: 305 meV per atom


No. 3
Here is Mn2SbIr after structural relaxation from the Alexandria database. Energies are from PBE-GGA.

Structure (extended XYZ):
```
4
Lattice="3.0566 -0.0034 0.0000 0.0034 3.0566 0.0000 0.0000 0.0000 7.5253" Properties=species:S:1:pos:R:3 pbc="T T T"
Sb 1.5300 1.5266 1.8813
Mn 0.0000 0.0000 4.0783
Mn 0.0000 0.0000 7.2097
Ir 1.5300 1.5266 5.6440
```

Output
**DFT total energy**: -7.6472 eV/atom
**Formation energy from raw total energies**: 183 meV per atom